Record 1
Pr2Zr2O7: optimized geometry, GGA-PBE.

a = 10.8423 Å, b = 10.8423 Å, c = 10.8423 Å
α = 90.00°, β = 90.00°, γ = 90.00°
Space group Fd-3m (No. 227, origin choice 2)
Inequivalent atoms, fractional coordinates:
Pr 0.0000 0.0000 0.0000 [16 per cell]
Zr 0.0000 0.0000 0.5000 [16 per cell]
O 0.0842 0.3750 0.8750 [48 per cell]
O 0.1250 0.1250 0.1250 [8 per cell]

As for the uncorrected formation energy: -37.3 eV per formula unit. The value obtained for the total magnetization is 0.00 μB per formula unit. The value obtained for the density of states at the Fermi level is 0.000 states/eV/atom.

***

Record 2
Pr3Zr5O12: optimized geometry, GGA-PBE.

a = 13.4330 Å, b = 13.4330 Å, c = 13.4330 Å
α = 90.00°, β = 90.00°, γ = 90.00°
Space group Ia-3d (No. 230)
Inequivalent atoms, fractional coordinates:
Pr 0.0000 0.2500 0.1250 [24 per cell]
Zr 0.0000 0.0000 0.0000 [16 per cell]
Zr 0.0000 0.2500 0.3750 [24 per cell]
O 0.0235 0.0569 0.6516 [96 per cell]

As for the uncorrected formation energy: -58.5 eV per formula unit. The value obtained for the total magnetization is 2.42 μB per formula unit. The value obtained for the density of states at the Fermi level is 0.653 states/eV/atom.

***

Record 3
Pr4Zr6O19: optimized geometry, GGA-PBE.

a = 9.6219 Å, b = 9.6219 Å, c = 9.6219 Å
α = 90.00°, β = 90.00°, γ = 90.00°
Space group I23 (No. 197)
Inequivalent atoms, fractional coordinates:
Pr 0.1469 0.1469 0.8531 [8 per cell]
Zr 0.0000 0.3324 0.5000 [12 per cell]
O 0.0000 0.0000 0.0000 [2 per cell]
O 0.0000 0.0000 0.3548 [12 per cell]
O 0.0429 0.3190 0.7151 [24 per cell]

As for the uncorrected formation energy: -89.2 eV per formula unit. The value obtained for the total magnetization is 2.26 μB per formula unit. The value obtained for the density of states at the Fermi level is 0.715 states/eV/atom.

***

Record 4
PrZr2O: optimized geometry, GGA-PBE.

a = 3.4098 Å, b = 3.4098 Å, c = 26.1213 Å
α = 90.00°, β = 90.00°, γ = 120.00°
Space group R-3m (No. 166, hexagonal axes)
Inequivalent atoms, fractional coordinates:
Pr 0.0000 0.0000 0.0000 [3 per cell]
Zr 0.0000 0.0000 0.1229 [6 per cell]
O 0.0000 0.0000 0.5000 [3 per cell]

As for the uncorrected formation energy: -3.7 eV per formula unit. The value obtained for the total magnetization is 0.00 μB per formula unit. The value obtained for the density of states at the Fermi level is 0.894 states/eV/atom.